(1)
BeZnAg2 | PBE-GGA | relaxed

It has space group P4/mmm (No. 123), with a = 4.348 Å, b = 4.348 Å, c = 3.095 Å, α = 90.00°, β = 90.00° and γ = 90.00°. The asymmetric unit holds Be at (0.000, 0.000, 0.000), Zn at (0.500, 0.500, 0.000) and Ag at (0.000, 0.500, 0.500).

Its mass density is 8.233 g cm⁻³. The calculation puts the magnetization at 0.0000 μB per atom. As for the total energy: -2.553 eV/atom.



(2)
TaCd2Br | PBE-GGA | relaxed

It has space group Cmmm (No. 65), with a = 5.924 Å, b = 9.300 Å, c = 3.089 Å, α = 90.00°, β = 90.00° and γ = 90.00°. The asymmetric unit holds Ta at (0.000, 0.000, 0.000), Cd at (0.250, 0.250, 0.500) and Br at (0.000, 0.500, 0.000).

Its mass density is 9.476 g cm⁻³. The calculation puts the magnetization at 0.0001 μB per atom. Its formation energy from raw total energies is 8.96 kcal/mol of atoms.



(3)
KRbSr2Ga | PBE-GGA | relaxed

It has space group P4/mmm (No. 123), with a = 6.344 Å, b = 6.344 Å, c = 7.053 Å, α = 90.00°, β = 90.00° and γ = 90.00°. The asymmetric unit holds K at (0.000, 0.000, 0.000), Rb at (0.500, 0.500, 0.000), Sr at (0.000, 0.500, 0.500) and Ga at (0.000, 0.000, 0.500).

Its mass density is 2.161 g cm⁻³. The calculation puts the magnetization at 0.0043 μB per atom. As for the total energy: -1.672 eV/atom.



(4)
CeHf5Tc4 | PBE-GGA | relaxed

It has space group P4/mmm (No. 123), with a = 3.271 Å, b = 3.271 Å, c = 17.925 Å, α = 90.00°, β = 90.00° and γ = 90.00°. The asymmetric unit holds Ce at (0.000, 0.000, 0.000), Hf at (0.500, 0.500, 0.140), Hf at (0.500, 0.500, 0.318), Hf at (0.500, 0.500, 0.500), Tc at (0.000, 0.000, 0.224) and Tc at (0.000, 0.000, 0.409).

Its mass density is 12.331 g cm⁻³. The calculation puts the magnetization at 0.0636 μB per atom. As for the total energy: -10.080 eV/atom.